# NdMg2As2Pd7

A relaxed structure of NdMg2As2Pd7 (PBE, Alexandria).

Lattice parameters (Å, degrees): 4.1648 4.1648 13.4933 72.00 72.00 89.78
Positions (direct):
1 Nd 0.0000 0.0000 0.0000
2 Mg 0.6696 0.6696 0.3312
3 Mg 0.3304 0.3304 0.6688
4 As 0.8077 0.8077 0.6910
5 As 0.1923 0.1923 0.3090
6 Pd 0.5000 0.5000 0.0000
7 Pd 0.2279 0.2279 0.4997
8 Pd 0.7721 0.7721 0.5003
9 Pd 0.8218 0.3216 0.1789
10 Pd 0.3216 0.8218 0.1789
11 Pd 0.6784 0.1782 0.8211
12 Pd 0.1782 0.6784 0.8211

## Properties
D(E_F), states/eV/atom: 0.575
SG: C2/m (12)
Energy of formation, meV/atom: -547
Energy, eV/cell: -60.17
Size of the total moment, μB per atom: 0.000